In3CF | meta-GGA SCAN | single point on PBEsol structure

The structure in POSCAR format:
```
In3CF
1.0
4.764 0.000 0.000
0.000 4.764 0.000
0.000 0.000 4.764
C F In
1 1 3
Cartesian
2.382 2.382 2.382
0.000 0.000 0.000
0.000 2.382 0.000
0.000 0.000 2.382
2.382 0.000 0.000
```

Computed properties:
DFT total energy in eV per atom: -21.913
DOS at the Fermi energy in states/eV/cell: 2.7
Magnetization in μB/atom: 0.00